{
  "formula": "LiCoBO3",
  "functional": "GGA+U",
  "state": "relaxed",
  "polymorph_energy_mev_per_atom": 65.4,
  "crystal_system": "triclinic",
  "cell": [[3.128, -0.013, -0.022], [0.050, 9.180, -0.001], [-0.173, 0.002, 9.205]],
  "species": ["O", "O", "O", "Co", "O", "O", "B", "Li", "O", "Co", "O", "Co", "B", "Li", "Li", "B", "O", "O", "B", "Li", "O", "O", "O", "Co"],
  "fractional_positions": [[0.767, 0.667, 0.418], [0.233, 0.333, 0.582], [0.750, 0.687, 0.161], [0.275, 0.805, 0.061], [0.251, 0.187, 0.339], [0.252, 0.949, 0.231], [0.754, 0.598, 0.282], [0.761, 0.859, 0.313], [0.253, 0.551, 0.731], [0.725, 0.195, 0.939], [0.233, 0.167, 0.082], [0.275, 0.695, 0.561], [0.246, 0.402, 0.718], [0.239, 0.141, 0.687], [0.762, 0.641, 0.813], [0.246, 0.098, 0.218], [0.748, 0.051, 0.769], [0.747, 0.449, 0.269], [0.754, 0.902, 0.782], [0.238, 0.359, 0.187], [0.250, 0.313, 0.839], [0.749, 0.813, 0.661], [0.767, 0.833, 0.918], [0.725, 0.305, 0.439]]
}